1.
An optimized crystal structure of K2RbTe2. Source: Alexandria via LeMat-Bulk, functional PBE-GGA.

The calculation puts the energy above the most stable polymorph in this dataset at 0.000 eV per formula unit. For the uncorrected formation energy, the calculation gives -0.90 eV/atom.

The structure belongs to space group P2_1/m (No. 11); the cell edges are 5.427, 5.762 and 14.853 Å and the angles 90.00°, 100.44° and 90.00°. Symmetry generates all atoms from K at (0.055, 0.250, 0.112), K at (0.248, 0.750, 0.497), Rb at (0.358, 0.250, 0.719), Te at (0.178, 0.250, 0.355) and Te at (0.483, 0.250, 0.966).

***

2.
An optimized crystal structure of HfMgTi2C. Source: Alexandria via LeMat-Bulk, functional PBE-GGA.

The formation energy is -0.32 eV/atom.

The structure belongs to space group P4/mmm (No. 123); the cell edges are 4.291, 4.291 and 4.491 Å and the angles 90.00°, 90.00° and 90.00°. Symmetry generates all atoms from Hf at (0.000, 0.000, 0.000), Mg at (0.500, 0.500, 0.000), Ti at (0.000, 0.500, 0.500) and C at (0.000, 0.000, 0.500).

***

3.
An optimized crystal structure of SrCr2Ni. Source: Alexandria via LeMat-Bulk, functional PBE-GGA.

The calculation puts the energy above the most stable polymorph in this dataset at 2.192 eV per formula unit. The formation energy is 0.94 eV/atom.

The structure belongs to space group Immm (No. 71); the cell edges are 2.634, 4.742 and 10.432 Å and the angles 90.00°, 90.00° and 90.00°. Symmetry generates all atoms from Sr at (0.000, 0.000, 0.000), Cr at (0.000, 0.500, 0.210) and Ni at (0.000, 0.000, 0.500).

***

4.
An optimized crystal structure of Zn2PW. Source: Alexandria via LeMat-Bulk, functional PBE-GGA.

The formation energy is 0.50 eV/atom.

The structure belongs to space group I-42d (No. 122); the cell edges are 7.220, 7.220 and 4.812 Å and the angles 90.00°, 90.00° and 90.00°. Symmetry generates all atoms from Zn at (0.219, 0.250, 0.125), P at (0.000, 0.000, 0.000) and W at (0.000, 0.000, 0.500).

***

5.
An optimized crystal structure of TaZn2Co. Source: Alexandria via LeMat-Bulk, functional PBE-GGA.

The calculation puts the energy above the most stable polymorph in this dataset at 0.985 eV per formula unit. The formation energy is 0.17 eV/atom.

The structure belongs to space group Cmmm (No. 65); the cell edges are 5.317, 8.421 and 2.627 Å and the angles 90.00°, 90.00° and 90.00°. Symmetry generates all atoms from Ta at (0.000, 0.000, 0.000), Zn at (0.250, 0.250, 0.500) and Co at (0.000, 0.500, 0.000).

***

| no. | uncorrected energy (eV per formula unit) |
| --- | --- |
| 1 | -13.943 |
| 2 | -38.146 |
| 3 | -22.932 |
| 4 | -18.929 |
| 5 | -20.833 |